Entry from Alexandria via LeMat-Bulk: a relaxed structure of Ti4Zn3In (PBE-GGA).

VASP energy in eV/atom: -4.94
Fermi-level density of states in states/eV/f.u.: 7.1

Unit cell a=4.0130 b=4.0130 c=8.1949 alpha=90.00 beta=90.00 gamma=90.00
Space group P4/mmm (No. 123)
One atom of each set of equivalent atoms:
1 Ti 0.0000 0.5000 0.2351 (multiplicity 4)
2 Zn 0.0000 0.0000 0.0000 (multiplicity 1)
3 Zn 0.0000 0.0000 0.5000 (multiplicity 1)
4 Zn 0.5000 0.5000 0.0000 (multiplicity 1)
5 In 0.5000 0.5000 0.5000 (multiplicity 1)